Below is an optimized crystal structure of Pm4TlGa, with properties calculated at the PBE level.

Properties
E, eV per atom: -4.379
Calculated formation energy, eV/atom: -0.313
Total magnetization, Bohr magnetons per cell: 0.0
E above lowest polymorph, eV per atom: 0.000
Theoretical density, g cm⁻³: 7.939

abc: 8.931 3.813 20.985
angles: 90.00 90.00 90.00
Space group Pnma (No. 62)
Inequivalent atoms, fractional coordinates:
Pm: 0.021 0.250 0.069 x4
Pm: 0.031 0.250 0.785 x4
Pm: 0.127 0.250 0.558 x4
Pm: 0.141 0.250 0.341 x4
Tl: 0.229 0.750 0.686 x4
Ga: 0.242 0.750 0.452 x4